Record 1
The following is a DFT calculation (PBE) of a relaxed structure of KZnRu2.

abc: 5.637 5.637 2.512
angles: 90.00 90.00 118.66
Sites, in units of the cell vectors:
K 0.000 0.000 0.000
Zn 0.500 0.500 0.000
Ru 0.000 0.500 0.500
Ru 0.500 0.000 0.500

Summary:
Total energy   -4.20 eV per atom
ΔH_f (0 K)   1.03 eV/atom



Record 2
The following is a DFT calculation (PBE) of a relaxed structure of PdPt3Rh3.

abc: 6.181 6.181 6.181
angles: 72.75 72.75 72.75
Sites, in units of the cell vectors:
Pd 0.247 0.247 0.247
Pd 0.753 0.753 0.753
Pt 0.177 0.461 0.613
Pt 0.387 0.823 0.539
Pt 0.461 0.613 0.177
Pt 0.539 0.387 0.823
Pt 0.613 0.177 0.461
Pt 0.823 0.539 0.387
Rh 0.033 0.894 0.317
Rh 0.106 0.683 0.967
Rh 0.317 0.033 0.894
Rh 0.683 0.967 0.106
Rh 0.894 0.317 0.033
Rh 0.967 0.106 0.683

Summary:
Total energy   -6.48 eV per atom
E above lowest polymorph   0 meV/atom
ΔH_f (0 K)   0.00 eV/atom



Record 3
The following is a DFT calculation (PBE) of a relaxed structure of NbCr2CoH.

abc: 3.810 3.810 3.707
angles: 90.00 90.00 90.00
Sites, in units of the cell vectors:
Nb 0.000 0.000 0.000
Cr 0.000 0.500 0.500
Cr 0.500 0.000 0.500
Co 0.500 0.500 0.000
H 0.500 0.500 0.500

Summary:
Total energy   -7.84 eV per atom



Record 4
The following is a DFT calculation (PBE) of a relaxed structure of Y12Cd5Bi3.

abc: 15.455 15.455 15.455
angles: 109.47 109.47 109.47
Sites, in units of the cell vectors:
Y 0.055 0.219 0.133
Y 0.055 0.336 0.922
Y 0.078 0.633 0.414
Y 0.078 0.945 0.664
Y 0.086 0.719 0.664
Y 0.086 0.867 0.422
Y 0.133 0.055 0.219
Y 0.133 0.578 0.914
Y 0.164 0.219 0.586
Y 0.164 0.445 0.578
Y 0.219 0.133 0.055
Y 0.219 0.586 0.164
Y 0.281 0.336 0.914
Y 0.281 0.445 0.367
Y 0.336 0.914 0.281
Y 0.336 0.922 0.055
Y 0.367 0.281 0.445
Y 0.367 0.586 0.922
Y 0.414 0.078 0.633
Y 0.414 0.836 0.781
Y 0.422 0.086 0.867
Y 0.422 0.836 0.555
Y 0.445 0.367 0.281
Y 0.445 0.578 0.164
Y 0.555 0.422 0.836
Y 0.555 0.633 0.719
Y 0.578 0.164 0.445
Y 0.578 0.914 0.133
Y 0.586 0.164 0.219
Y 0.586 0.922 0.367
Y 0.633 0.414 0.078
Y 0.633 0.719 0.555
Y 0.664 0.078 0.945
Y 0.664 0.086 0.719
Y 0.719 0.555 0.633
Y 0.719 0.664 0.086
Y 0.781 0.414 0.836
Y 0.781 0.867 0.945
Y 0.836 0.555 0.422
Y 0.836 0.781 0.414
Y 0.867 0.422 0.086
Y 0.867 0.945 0.781
Y 0.914 0.133 0.578
Y 0.914 0.281 0.336
Y 0.922 0.055 0.336
Y 0.922 0.367 0.586
Y 0.945 0.664 0.078
Y 0.945 0.781 0.867
Cd 0.000 0.000 0.000
Cd 0.000 0.000 0.500
Cd 0.000 0.500 0.000
Cd 0.000 0.500 0.500
Cd 0.125 0.750 0.875
Cd 0.125 0.875 0.250
Cd 0.250 0.125 0.875
Cd 0.250 0.625 0.375
Cd 0.375 0.250 0.625
Cd 0.375 0.625 0.750
Cd 0.500 0.000 0.000
Cd 0.500 0.000 0.500
Cd 0.500 0.500 0.000
Cd 0.500 0.500 0.500
Cd 0.625 0.375 0.250
Cd 0.625 0.750 0.375
Cd 0.750 0.375 0.625
Cd 0.750 0.875 0.125
Cd 0.875 0.125 0.750
Cd 0.875 0.250 0.125
Bi 0.125 0.250 0.375
Bi 0.125 0.375 0.750
Bi 0.250 0.375 0.125
Bi 0.250 0.875 0.625
Bi 0.375 0.125 0.250
Bi 0.375 0.750 0.125
Bi 0.625 0.250 0.875
Bi 0.625 0.875 0.750
Bi 0.750 0.125 0.375
Bi 0.750 0.625 0.875
Bi 0.875 0.625 0.250
Bi 0.875 0.750 0.625

Summary:
Total energy   -4.59 eV per atom
ΔH_f (0 K)   0.10 eV/atom



Record 5
The following is a DFT calculation (PBE) of a relaxed structure of AcSmDy2.

abc: 5.853 5.853 5.853
angles: 60.00 60.00 60.00
Sites, in units of the cell vectors:
Ac 0.000 0.000 0.000
Sm 0.500 0.500 0.500
Dy 0.250 0.250 0.250
Dy 0.750 0.750 0.750

Summary:
Total energy   -4.38 eV per atom
E above lowest polymorph   77 meV/atom
ΔH_f (0 K)   0.13 eV/atom



Record 6
The following is a DFT calculation (PBE) of a relaxed structure of InGa2Cl4.

abc: 8.387 8.387 8.387
angles: 142.36 142.36 54.29
Sites, in units of the cell vectors:
In 0.000 0.000 0.000
Ga 0.357 0.357 0.000
Ga 0.643 0.643 0.000
Cl 0.000 0.500 0.500
Cl 0.186 0.186 0.000
Cl 0.500 0.000 0.500
Cl 0.814 0.814 0.000

Summary:
Total energy   -3.04 eV per atom



Record 7
The following is a DFT calculation (PBE) of a relaxed structure of ZrTlSe.

abc: 4.629 4.629 3.947
angles: 90.00 90.00 120.00
Sites, in units of the cell vectors:
Zr 0.000 0.000 0.000
Tl 0.333 0.667 0.500
Se 0.667 0.333 0.000

Summary:
Total energy   -5.19 eV per atom
E above lowest polymorph   225 meV/atom